# 1
An optimized crystal structure of SrHo2Ag, computed with GGA-PBE.

Geometry as POSCAR:
```
SrHo2Ag
1.0
3.6985 0.0000 0.0000
1.8493 3.2030 0.0000
1.8493 1.0677 11.3299
Ag Ho Sr
1 2 1
Direct
0.5000 0.5000 0.5000 Ag
0.8960 0.8960 0.3121 Ho
0.1040 0.1040 0.6879 Ho
0.0000 0.0000 0.0000 Sr
```

Properties
As for the energy above the lowest structure with this stoichiometry: 244.8 meV per atom. Its total moment is 0.000 μB/atom. For the density of states at the Fermi level, the calculation gives 4.5 states/eV per cell. The calculation puts the energy of formation at 0.9 eV per formula unit.

=====

# 2
An optimized crystal structure of SrHo2Ag, computed with GGA-PBE.

Geometry as POSCAR:
```
SrHo2Ag
1.0
-1.1127 1.3707 -3.2103
0.2697 -3.3256 -1.5134
-9.1535 -1.8304 2.3910
Sr Ho Ag
1 2 1
Direct
0.5000 0.5000 0.5000 Sr
0.0000 0.0000 0.8189 Ho
0.0000 0.0000 0.1811 Ho
0.5000 0.5000 0.0000 Ag
```

Properties
As for the energy above the lowest structure with this stoichiometry: 0.0 meV per atom. Its total moment is 0.000 μB/atom. For the density of states at the Fermi level, the calculation gives 4.4 states/eV per cell. The calculation puts the energy of formation at -0.1 eV per formula unit.

=====

# 3
An optimized crystal structure of SrHoAg2, computed with GGA-PBE.

Geometry as POSCAR:
```
SrHoAg2
1.0
-3.2778 -1.8162 -0.0841
1.3172 -2.2526 -2.6907
2.5577 -4.8623 5.3228
Ag Sr Ho
2 1 1
Direct
0.0000 0.0000 0.7914 Ag
0.0000 0.0000 0.2086 Ag
0.5000 0.5000 0.5000 Sr
0.5000 0.5000 0.0000 Ho
```

Properties
As for the energy above the lowest structure with this stoichiometry: 0.0 meV per atom. Its total moment is 0.000 μB/atom. For the density of states at the Fermi level, the calculation gives 3.1 states/eV per cell. The calculation puts the energy of formation at -1.2 eV per formula unit.

=====

# 4
An optimized crystal structure of SrHoAg4, computed with GGA-PBE.

Geometry as POSCAR:
```
SrHoAg4
1.0
-0.2824 3.2702 4.8025
-4.3521 3.7993 0.6800
-4.1417 -1.0000 3.9603
Ho Ag Sr
1 4 1
Direct
0.2500 0.2500 0.2500 Ho
0.1260 0.6247 0.6247 Ag
0.6247 0.6247 0.1260 Ag
0.6247 0.1260 0.6247 Ag
0.6247 0.6247 0.6247 Ag
0.0000 0.0000 0.0000 Sr
```

Properties
Its total moment is 0.000 μB/atom. For the density of states at the Fermi level, the calculation gives 8.4 states/eV per cell. The calculation puts the energy of formation at -0.8 eV per formula unit.

=====

# 5
An optimized crystal structure of Sr3HoAg4, computed with GGA-PBE.

Geometry as POSCAR:
```
Sr3HoAg4
1.0
3.8186 0.0000 0.0000
0.0000 3.8186 0.0000
0.0000 0.0000 15.6465
Sr Ag Ho
3 4 1
Direct
0.5000 0.5000 0.2410 Sr
0.5000 0.5000 0.5000 Sr
0.5000 0.5000 0.7590 Sr
0.0000 0.0000 0.6287 Ag
0.0000 0.0000 0.9000 Ag
0.0000 0.0000 0.1000 Ag
0.0000 0.0000 0.3713 Ag
0.5000 0.5000 0.0000 Ho
```

Properties
Its total moment is 0.000 μB/atom. For the density of states at the Fermi level, the calculation gives 6.9 states/eV per cell. The calculation puts the energy of formation at -2.1 eV per formula unit.

=====

# 6
An optimized crystal structure of SrHo2Ag3, computed with GGA-PBE.

Geometry as POSCAR:
```
SrHo2Ag3
1.0
-0.2107 -2.9897 2.1473
2.7089 -1.5822 -1.9371
7.6478 4.5018 7.0182
Ag Sr Ho
3 1 2
Direct
0.0000 0.0000 0.6973 Ag
0.0000 0.0000 0.0000 Ag
0.0000 0.0000 0.3027 Ag
0.5000 0.5000 0.5000 Sr
0.5000 0.5000 0.8398 Ho
0.5000 0.5000 0.1602 Ho
```

Properties
Its total moment is 0.000 μB/atom. For the density of states at the Fermi level, the calculation gives 3.7 states/eV per cell. The calculation puts the energy of formation at -1.8 eV per formula unit.

=====

# 7
An optimized crystal structure of Sr2HoAgTe4, computed with GGA-PBE.

Geometry as POSCAR:
```
Sr2HoAgTe4
1.0
4.5495 0.0000 0.0000
0.0000 7.9580 0.1182
0.0000 -2.8025 7.3327
Ag Sr Te Ho
1 2 4 1
Direct
0.0000 0.0000 0.0000 Ag
0.5000 0.0000 0.5000 Sr
0.0000 0.5000 0.5000 Sr
0.0000 0.7365 0.2303 Te
0.5000 0.2422 0.2201 Te
0.5000 0.7578 0.7799 Te
0.0000 0.2635 0.7697 Te
0.5000 0.5000 0.0000 Ho
```

Properties
The value obtained for the uncorrected energy is -4.164 eV per atom. Its total moment is 0.000 μB/atom.

=====

# 8
An optimized crystal structure of Sr4Ho3AgTe8, computed with GGA-PBE.

Geometry as POSCAR:
```
Sr4Ho3AgTe8
1.0
-8.3330 -3.4089 0.9172
3.5313 -7.8530 2.8959
2.2064 7.7348 4.1456
Te Ag Sr Ho
8 1 4 3
Direct
0.7432 0.7295 0.4863 Te
0.7412 0.7261 0.9836 Te
0.7574 0.2737 0.5148 Te
0.7575 0.2739 0.0164 Te
0.2425 0.7261 0.9836 Te
0.2588 0.2739 0.0164 Te
0.2568 0.2705 0.5137 Te
0.2426 0.7263 0.4852 Te
0.0000 0.5000 0.0000 Ag
0.0000 0.0000 0.5000 Sr
0.5000 0.0000 0.0000 Sr
0.0000 0.0000 0.0000 Sr
0.5000 0.0000 0.5000 Sr
0.0000 0.5000 0.5000 Ho
0.5000 0.5000 0.5000 Ho
0.5000 0.5000 0.0000 Ho
```

Properties
The value obtained for the uncorrected energy is -4.398 eV per atom. Its total moment is 0.000 μB/atom. For the density of states at the Fermi level, the calculation gives 4.5 states/eV per cell.

=====

Q: total moment of number 6 (SrHo2Ag3)?
A: 0.000 μB/atom